Material: Rb2LiGeTe4
Method: DFT, GGA-PBE
State: optimized geometry

Cell and atoms, written as POSCAR:
```
Rb2LiGeTe4
1.0
0.0000 7.7625 12.6600
3.2073 0.0000 12.6600
3.2073 7.7625 0.0000
Rb Li Ge Te
4 2 2 8
direct
0.0582 0.0582 0.6918
0.3082 0.3082 0.9418
0.6918 0.6918 0.0582
0.9418 0.9418 0.3082
0.1250 0.1250 0.1250
0.8750 0.8750 0.8750
0.3750 0.3750 0.3750
0.6250 0.6250 0.6250
0.0121 0.3564 0.4429
0.3113 0.5571 0.6436
0.3564 0.0121 0.6887
0.4429 0.6887 0.0121
0.5571 0.3113 0.9879
0.6436 0.9879 0.3113
0.6887 0.4429 0.3564
0.9879 0.6436 0.5571
```

Summary:
E_form (uncorrected) = -0.591 eV/atom
Symmetry = Fddd, No. 70

Material: YCd2Ru
Method: DFT, GGA-PBE
State: optimized geometry

Cell and atoms, written as POSCAR:
```
YCd2Ru
1.0
3.3469 0.0000 0.0000
0.0000 4.2349 0.0000
0.0000 0.0000 5.8182
Y Cd Ru
1 2 1
direct
0.0000 0.0000 0.0000
0.5000 0.5000 0.2715
0.5000 0.5000 0.7285
0.0000 0.0000 0.5000
```

Summary:
E_form = 0.31 kcal/mol of atoms
Symmetry = Pmmm, No. 47

Material: MgTlF3
Method: DFT, GGA-PBE
State: optimized geometry

Cell and atoms, written as POSCAR:
```
MgTlF3
1.0
5.5672 -6.3581 0.0000
5.5672 6.3581 0.0000
-0.2843 0.0000 5.3761
Mg Tl F
4 4 12
direct
0.0640 0.9360 0.7500
0.1898 0.8102 0.2500
0.8102 0.1898 0.7500
0.9360 0.0640 0.2500
0.1664 0.4608 0.7671
0.4608 0.1664 0.2671
0.5392 0.8336 0.7329
0.8336 0.5392 0.2329
0.0301 0.1469 0.5937
0.0768 0.7360 0.9217
0.1469 0.0301 0.0937
0.1490 0.5895 0.3491
0.2640 0.9232 0.5783
0.4105 0.8510 0.1509
0.5895 0.1490 0.8491
0.7360 0.0768 0.4217
0.8510 0.4105 0.6509
0.8531 0.9699 0.9063
0.9232 0.2640 0.0783
0.9699 0.8531 0.4063
```

Summary:
E_form (uncorrected) = -2.798 eV/atom
Symmetry = C2/c, No. 15

Material: Ru2PbSe
Method: DFT, GGA-PBE
State: optimized geometry

Cell and atoms, written as POSCAR:
```
Ru2PbSe
1.0
3.1844 0.0000 0.0000
-1.5922 2.7578 0.0000
0.0000 0.0000 24.0582
Ru Pb Se
6 3 3
direct
0.0000 0.0000 0.2404
0.0000 0.0000 0.7596
0.3333 0.6667 0.4262
0.3333 0.6667 0.9071
0.6667 0.3333 0.0929
0.6667 0.3333 0.5738
0.0000 0.0000 0.0000
0.3333 0.6667 0.6667
0.6667 0.3333 0.3333
0.0000 0.0000 0.5000
0.3333 0.6667 0.1667
0.6667 0.3333 0.8333
```

Summary:
E_form (uncorrected) = 0.391 eV/atom
Energy above the lowest structure with this stoichiometry = 0.160 eV per atom
Symmetry = R-3m, No. 166

Material: Nd12Ho7In
Method: DFT, GGA-PBE
State: optimized geometry

Cell and atoms, written as POSCAR:
```
Nd12Ho7In
1.0
6.2352 3.5999 5.1465
-6.2352 3.5999 5.1465
0.0000 -7.1998 5.1465
Nd Ho In
12 7 1
direct
0.1256 0.4691 0.3361
0.2087 0.7653 0.6202
0.2348 0.3798 0.7913
0.3361 0.1256 0.4691
0.3798 0.7913 0.2348
0.4691 0.3361 0.1256
0.5309 0.6639 0.8744
0.6202 0.2087 0.7653
0.6639 0.8744 0.5309
0.7653 0.6202 0.2087
0.7913 0.2347 0.3798
0.8744 0.5309 0.6639
0.0059 0.8917 0.3278
0.1083 0.6722 0.9941
0.3278 0.0059 0.8917
0.5000 0.5000 0.5000
0.6722 0.9941 0.1083
0.8917 0.3278 0.0059
0.9941 0.1083 0.6722
0.0000 0.0000 0.0000
```

Summary:
E_form = 3.45 kcal/mol of atoms
Energy above the lowest structure with this stoichiometry = 0.000 eV per atom
Symmetry = R-3, No. 148

Material: Ti7NbBi2
Method: DFT, GGA-PBE
State: optimized geometry

Cell and atoms, written as POSCAR:
```
Ti7NbBi2
1.0
0.0000 4.7844 4.7844
4.7844 0.0000 4.7844
4.7844 4.7844 0.0000
Ti Nb Bi
7 1 2
direct
0.0000 0.0000 0.0000
0.2459 0.2459 0.7541
0.2459 0.7541 0.2459
0.2459 0.7541 0.7541
0.7541 0.2459 0.2459
0.7541 0.2459 0.7541
0.7541 0.7541 0.2459
0.5000 0.5000 0.5000
0.2500 0.2500 0.2500
0.7500 0.7500 0.7500
```

Summary:
E_form = 16.66 kcal/mol of atoms
Symmetry = Fm-3m, No. 225

Material: Na2ZnCuRe
Method: DFT, GGA-PBE
State: optimized geometry

Cell and atoms, written as POSCAR:
```
Na2ZnCuRe
1.0
5.1788 0.0000 0.0000
0.0000 5.1788 0.0000
0.0000 0.0000 4.5566
Na Zn Cu Re
2 1 1 1
direct
0.0000 0.5000 0.0000
0.5000 0.0000 0.0000
0.0000 0.0000 0.0000
0.0000 0.0000 0.5000
0.5000 0.5000 0.5000
```

Summary:
E_form = 33.90 kcal/mol of atoms
Symmetry = P4/mmm, No. 123

Material: MnSnIrRuPt
Method: DFT, GGA-PBE
State: optimized geometry

Cell and atoms, written as POSCAR:
```
MnSnIrRuPt
1.0
9.1105 0.0000 0.0000
0.0000 4.0562 0.0000
-3.3804 0.0000 4.5363
Mn Sn Ir Ru Pt
2 2 2 2 2
direct
0.0000 0.0000 0.0000
0.5000 0.5000 0.0000
0.3910 0.5000 0.3988
0.8910 0.0000 0.3988
0.0765 0.5000 0.3354
0.5765 0.0000 0.3354
0.0931 0.5000 0.8260
0.5931 0.0000 0.8260
0.2771 0.0000 0.7611
0.7771 0.5000 0.7611
```

Summary:
E_form = 1.14 kcal/mol of atoms
Energy above the lowest structure with this stoichiometry = 0.140 eV per atom
Symmetry = Cm, No. 8

Material: Tb7InNi2
Method: DFT, GGA-PBE
State: optimized geometry

Cell and atoms, written as POSCAR:
```
Tb7InNi2
1.0
4.4815 -6.8215 0.0000
4.4815 6.8215 0.0000
0.0000 0.0000 4.9408
Tb In Ni
7 1 2
direct
0.0000 0.0000 0.0000
0.1878 0.4462 0.0000
0.2088 0.7912 0.5000
0.4462 0.1878 0.0000
0.5538 0.8122 0.0000
0.7912 0.2088 0.5000
0.8122 0.5538 0.0000
0.5000 0.5000 0.5000
0.2040 0.7960 0.0000
0.7960 0.2040 0.0000
```

Summary:
E_form = -1.45 kcal/mol of atoms
Symmetry = Cmmm, No. 65

Material: TaMn2Zn
Method: DFT, GGA-PBE
State: optimized geometry

Cell and atoms, written as POSCAR:
```
TaMn2Zn
1.0
6.0829 0.0000 0.0000
0.0000 6.0829 0.0000
0.0000 0.0000 6.0829
Ta Mn Zn
4 8 4
direct
0.0000 0.0000 0.0000
0.0000 0.5000 0.5000
0.5000 0.0000 0.5000
0.5000 0.5000 0.0000
0.0000 0.0000 0.5000
0.0000 0.5000 0.0000
0.2500 0.2500 0.2500
0.2500 0.7500 0.7500
0.5000 0.0000 0.0000
0.5000 0.5000 0.5000
0.7500 0.2500 0.7500
0.7500 0.7500 0.2500
0.2500 0.2500 0.7500
0.2500 0.7500 0.2500
0.7500 0.2500 0.2500
0.7500 0.7500 0.7500
```

Summary:
E_form = 4.63 kcal/mol of atoms
Symmetry = F-43m, No. 216

Material: La4Al3Ag
Method: DFT, GGA-PBE
State: optimized geometry

Cell and atoms, written as POSCAR:
```
La4Al3Ag
1.0
3.7701 0.0000 0.0000
0.0000 3.7701 0.0000
0.0000 0.0000 15.5116
La Al Ag
4 3 1
direct
0.0000 0.0000 0.1228
0.0000 0.0000 0.3687
0.0000 0.0000 0.6313
0.0000 0.0000 0.8772
0.5000 0.5000 0.0000
0.5000 0.5000 0.2482
0.5000 0.5000 0.7518
0.5000 0.5000 0.5000
```

Summary:
E_form = -7.74 kcal/mol of atoms
Symmetry = P4/mmm, No. 123

Material: SrMgTi3
Method: DFT, GGA-PBE
State: optimized geometry

Cell and atoms, written as POSCAR:
```
SrMgTi3
1.0
5.0773 0.0000 0.0000
0.0000 5.0773 0.0000
0.0000 0.0000 5.0773
Sr Mg Ti
1 1 3
direct
0.0000 0.0000 0.0000
0.5000 0.5000 0.5000
0.0000 0.5000 0.5000
0.5000 0.0000 0.5000
0.5000 0.5000 0.0000
```

Summary:
E_form = 26.82 kcal/mol of atoms
Energy above the lowest structure with this stoichiometry = 0.000 eV per atom
Symmetry = Pm-3m, No. 221

Number 1: volume 39.40 Å³ per atom. Number 2: volume 20.62 Å³ per atom. Number 3: volume 19.03 Å³ per atom. Number 4: volume 17.61 Å³ per atom. Number 5: volume 34.66 Å³ per atom. Number 6: volume 21.90 Å³ per atom. Number 7: volume 24.44 Å³ per atom. Number 8: volume 16.76 Å³ per atom. Number 9: volume 30.21 Å³ per atom. Number 10: volume 14.07 Å³ per atom. Number 11: volume 27.56 Å³ per atom. Number 12: volume 26.18 Å³ per atom.